1.
LiNpNiO6, optimized geometry, DFT GGA+U; SG = P4_2nm; Fermi-level density of states = 11.25 states/eV/cell; total DFT energy (no corrections) = -124.3 eV for the cell shown
1.0
4.764 0.000 0.000
0.000 4.764 0.000
0.000 0.000 9.091
Li Np Ni O
2 2 2 12
Cartesian
2.382 2.382 7.540
0.000 0.000 2.994
2.382 2.382 1.506
0.000 0.000 6.052
2.382 2.382 4.568
0.000 0.000 0.023
0.936 3.828 4.614
3.828 0.936 4.614
1.446 1.446 0.069
3.318 3.318 0.069
0.925 3.839 1.421
3.839 0.925 1.421
1.457 1.457 5.967
3.307 3.307 5.967
3.889 0.875 7.612
0.875 3.889 7.612
3.257 3.257 3.066
1.507 1.507 3.066

=====

2.
Li2NpNiO4, optimized geometry, DFT GGA+U; SG = I-4m2; Fermi-level density of states = 5.93 states/eV/cell; total DFT energy (no corrections) = -55.8 eV for the cell shown
1.0
4.468 0.002 0.000
-0.002 4.468 0.000
-2.233 -2.235 4.355
Li Np Ni O
2 1 1 4
Cartesian
-0.001 2.234 2.178
0.000 0.000 0.000
2.233 2.235 0.000
2.234 0.001 2.178
2.234 0.001 4.280
2.234 0.001 0.075
2.233 2.235 2.157
0.000 0.000 2.198